Density functional theory data (GGA-PBE) for a relaxed Li4Er3AlSe8 crystal.

Results
- formation energy from raw total energies (eV/atom) = -1.493
- SG = R-3m
- V (Å³/f.u.) = 352.6

```
Li4Er3AlSe8
1.0
7.933 0.000 0.000
0.000 7.925 -0.011
-3.966 -3.961 5.614
Li Er Al Se
4 3 1 8
direct
0.500 0.000 0.000
0.500 0.000 0.500
0.000 0.000 0.000
0.000 0.000 0.500
0.500 0.500 0.000
0.500 0.500 0.500
0.000 0.500 0.500
0.000 0.500 0.000
0.237 0.743 0.005
0.238 0.743 0.475
0.249 0.247 0.498
0.768 0.743 0.005
0.232 0.257 0.995
0.751 0.753 0.502
0.762 0.257 0.525
0.763 0.257 0.995
```